Computed, not measured: a relaxed BaCo2P2O8 crystal at the GGA-PBEsol level of DFT.

```
13
Lattice="2.3802 1.3742 7.9025 -2.3802 1.3742 7.9025 0.0000 -2.7484 7.9025" Properties=species:S:1:pos:R:3 pbc="T T T"
Ba 0.0000 0.0000 0.0000
Co 0.0000 0.0000 3.9861
Co 0.0000 0.0000 19.7214
P 0.0000 0.0000 10.1017
P 0.0000 0.0000 13.6058
O -1.4771 0.0314 10.6085
O -0.7657 -1.2635 13.0989
O 0.0000 0.0000 8.5763
O 0.7114 -1.2949 10.6085
O -0.7114 1.2949 13.0989
O 0.0000 0.0000 15.1312
O 0.7657 1.2635 10.6086
O 1.4771 -0.0314 13.0989
```

Properties
Polymorph energy (0 for the lowest one) = 0.0 meV/atom
Uncorrected formation energy = -2.024 eV per atom

Computed, not measured: a relaxed BaCoP2O crystal at the GGA-PBEsol level of DFT.

```
5
Lattice="4.1089 0.0000 0.0000 0.0000 4.1089 0.0000 0.0000 0.0000 5.6266" Properties=species:S:1:pos:R:3 pbc="T T T"
Ba 0.0000 0.0000 0.0000
Co 2.0544 2.0544 2.8133
P 0.0000 2.0544 2.8133
P 2.0544 0.0000 2.8133
O 2.0544 2.0544 0.0000
```

Properties
Uncorrected formation energy = -0.487 eV per atom

Computed, not measured: a relaxed Ba2Pr2Co4O11 crystal at the GGA-PBEsol level of DFT.

```
19
Lattice="3.8011 0.0000 0.0000 0.0000 7.5201 0.0000 0.0000 0.0000 7.8726" Properties=species:S:1:pos:R:3 pbc="T T T"
Ba 0.0000 0.0000 1.9600
Ba 0.0000 0.0000 5.9126
Pr 0.0000 3.7600 2.1015
Pr 0.0000 3.7600 5.7711
Co 1.9005 1.8559 0.0000
Co 1.9005 1.8603 3.9363
Co 1.9005 5.6642 0.0000
Co 1.9005 5.6598 3.9363
O 0.0000 1.9893 3.9363
O 0.0000 2.2341 0.0000
O 0.0000 5.2860 0.0000
O 0.0000 5.5308 3.9363
O 1.9005 0.0000 0.0000
O 1.9005 0.0000 3.9363
O 1.9005 2.1713 1.8443
O 1.9005 2.1713 6.0282
O 1.9005 3.7600 3.9363
O 1.9005 5.3488 1.8443
O 1.9005 5.3488 6.0282
```

Properties
Uncorrected formation energy = -2.008 eV per atom